# 1
## Nb2CdOs2 (PBE)

Data for a relaxed Nb2CdOs2 crystal.

- symmetry = P4/mbm, No. 127
- energy of formation (eV/f.u.) = 0.804
- V (Å³/cell) = 180.44

Cell and atoms, written as POSCAR:
```
Nb2CdOs2
1.0
7.808 0.000 0.000
0.000 7.808 0.000
0.000 0.000 2.960
Nb Cd Os
4 2 4
Direct
0.147 0.353 0.000 Nb
0.353 0.853 0.000 Nb
0.647 0.147 0.000 Nb
0.853 0.647 0.000 Nb
0.000 0.000 0.000 Cd
0.500 0.500 0.000 Cd
0.145 0.645 0.500 Os
0.355 0.145 0.500 Os
0.645 0.855 0.500 Os
0.855 0.355 0.500 Os
```


# 2
## AsAu3S (PBE)

Data for a relaxed AsAu3S crystal.

- symmetry = Pm-3m, No. 221
- formation energy without anion corrections (eV per atom) = 0.71
- V (Å³/cell) = 118.35

Cell and atoms, written as POSCAR:
```
AsAu3S
1.0
4.910 0.000 0.000
0.000 4.910 0.000
0.000 0.000 4.910
As Au S
1 3 1
Direct
0.000 0.000 0.000 As
0.000 0.000 0.500 Au
0.000 0.500 0.000 Au
0.500 0.000 0.000 Au
0.500 0.500 0.500 S
```


# 3
## Pr2Nd5Ho2 (PBE)

Data for a relaxed Pr2Nd5Ho2 crystal.

- symmetry = Ima2, No. 46
- energy of formation (eV/f.u.) = 1.807
- V (Å³/cell) = 627.02

Cell and atoms, written as POSCAR:
```
Pr2Nd5Ho2
1.0
-7.559 6.040 3.433
7.559 -6.040 3.433
7.559 6.040 -3.433
Pr Nd Ho
4 10 4
Direct
0.000 0.000 0.000 Pr
0.000 0.500 0.500 Pr
0.039 0.790 0.749 Pr
0.041 0.290 0.251 Pr
0.069 0.196 0.586 Nd
0.069 0.984 0.373 Nd
0.125 0.607 0.019 Nd
0.421 0.112 0.207 Nd
0.421 0.714 0.810 Nd
0.588 0.107 0.981 Nd
0.611 0.484 0.414 Nd
0.611 0.696 0.627 Nd
0.905 0.214 0.793 Nd
0.905 0.612 0.190 Nd
0.499 0.134 0.619 Ho
0.499 0.380 0.866 Ho
0.514 0.634 0.134 Ho
0.514 0.880 0.381 Ho
```


Which value of V does entry 1 give? 180.44 Å³/cell